Record 1
VASP calculation (PBE) on a geometry-optimized Sm2DyEr12 structure.

For the total energy, the calculation gives -4.478 eV per atom. The value obtained for the formation energy from the elements is 0.108 eV/atom. The crystal system is monoclinic.

The space group is C2/m (No. 12) and the conventional cell measures 7.0993, 11.1253 and 23.9465 Å, with angles of 90.00, 94.22 and 90.00 degrees. The asymmetric unit holds Sm at (0.0689, 0.0000, 0.2787), Sm at (0.0712, 0.5000, 0.2813), Dy at (0.2497, 0.0000, 0.0000), Er at (0.0170, 0.2521, 0.0663), Er at (0.0329, 0.0000, 0.1335), Er at (0.0340, 0.5000, 0.1361), Er at (0.1116, 0.2531, 0.4448), Er at (0.1401, 0.0000, 0.5741), Er at (0.1455, 0.5000, 0.5717), Er at (0.1673, 0.2506, 0.6702) and Er at (0.2022, 0.2500, 0.8083).


Record 2
VASP calculation (PBE) on a geometry-optimized Sm8DyEr4 structure.

For the total energy, the calculation gives -4.461 eV per atom. The value obtained for the formation energy from the elements is 0.201 eV/atom. The crystal system is trigonal.

The space group is R-3m (No. 166, hexagonal axes) and the conventional cell measures 7.2566, 7.2566 and 28.2729 Å, with angles of 90.00, 90.00 and 120.00 degrees. The asymmetric unit holds Sm at (0.0000, 0.0000, 0.2137), Sm at (0.0316, 0.5158, 0.7646), Dy at (0.0000, 0.0000, 0.5000), Er at (0.0000, 0.0000, 0.0000) and Er at (0.0000, 0.5000, 0.0000).


Record 3
VASP calculation (PBE) on a geometry-optimized Sm4Dy2Er3 structure.

For the total energy, the calculation gives -4.593 eV per atom. The value obtained for the formation energy from the elements is 0.048 eV/atom. The crystal system is orthorhombic.

The space group is Cccm (No. 66) and the conventional cell measures 9.7586, 16.8548 and 7.0256 Å, with angles of 90.00, 90.00 and 90.00 degrees. The asymmetric unit holds Sm at (0.1456, 0.1740, 0.0000), Sm at (0.1649, 0.4836, 0.0000), Dy at (0.1893, 0.1594, 0.5000), Er at (0.0000, 0.0000, 0.2500) and Er at (0.0000, 0.3306, 0.2500).


Record 4
VASP calculation (PBE) on a geometry-optimized SmDy12Er2 structure.

For the total energy, the calculation gives -4.491 eV per atom. The value obtained for the formation energy from the elements is 0.114 eV/atom. The crystal system is monoclinic.

The space group is C2/m (No. 12) and the conventional cell measures 7.0992, 11.1233 and 24.2859 Å, with angles of 90.00, 94.19 and 90.00 degrees. The asymmetric unit holds Sm at (0.2492, 0.0000, 0.4971), Dy at (0.0176, 0.2502, 0.5746), Dy at (0.1119, 0.2468, 0.9447), Dy at (0.1413, 0.5000, 0.0786), Dy at (0.1463, 0.0000, 0.0724), Dy at (0.1677, 0.2450, 0.1701), Dy at (0.2004, 0.2567, 0.2980), Dy at (0.2152, 0.0000, 0.3581), Dy at (0.2175, 0.5000, 0.3654), Er at (0.0630, 0.5000, 0.7716) and Er at (0.0722, 0.0000, 0.7721).


Record 5
VASP calculation (PBE) on a geometry-optimized SmDy6Er2 structure.

For the total energy, the calculation gives -4.589 eV per atom. The value obtained for the formation energy from the elements is 0.018 eV/atom. The crystal system is triclinic.

The space group is P-1 (No. 2) and the conventional cell measures 3.5447, 8.6673 and 9.3699 Å, with angles of 90.02, 100.85 and 90.06 degrees. The asymmetric unit holds Sm at (0.0000, 0.0000, 0.0000), Dy at (0.1111, 0.6656, 0.2221), Dy at (0.2216, 0.3343, 0.4440), Dy at (0.3329, 0.0003, 0.6655) and Er at (0.4443, 0.6651, 0.8887).


Record 6
VASP calculation (PBE) on a geometry-optimized SmDy3Er8 structure.

For the total energy, the calculation gives -4.580 eV per atom. The value obtained for the formation energy from the elements is 0.006 eV/atom. The crystal system is orthorhombic.

The space group is Imm2 (No. 44) and the conventional cell measures 10.8054, 11.1849 and 6.2413 Å, with angles of 90.00, 90.00 and 90.00 degrees. The asymmetric unit holds Sm at (0.0000, 0.0000, 0.0000), Dy at (0.0000, 0.2507, 0.6663), Dy at (0.0000, 0.5000, 0.9996), Er at (0.1663, 0.5000, 0.4993), Er at (0.1674, 0.0000, 0.4991) and Er at (0.1671, 0.2509, 0.1675).